Entry from Alexandria: an optimized crystal structure of VFePbO4 (GGA+U).

The total energy is -6.69 eV/atom.

The space group is P2_1/m (No. 11) and the conventional cell measures 5.5965, 5.9691 and 6.6494 Å, with angles of 90.00, 106.01 and 90.00 degrees. The inequivalent atoms are V at (0.1949, 0.2500, 0.1712), Fe at (0.3939, 0.7500, 0.0209), Pb at (0.2548, 0.7500, 0.4925), O at (0.0325, 0.7500, 0.0708), O at (0.1157, 0.2500, 0.4133) and O at (0.4594, 0.0400, 0.1918).